[1]
Computed, not measured: a relaxed LiNbHg crystal at the PBE level of DFT.

Output
As for the magnetic moment: 0.02 Bohr magnetons per cell. The theoretical density is 8.08 Mg/m³. The energy is -3.48 eV per atom.

Lattice parameters (Å, degrees): 6.273 6.273 6.273 90.00 90.00 90.00
Sites, in units of the cell vectors:
Li1 0.000 0.000 0.000
Li2 0.000 0.500 0.500
Li3 0.500 0.000 0.500
Li4 0.500 0.500 0.000
Nb1 0.000 0.000 0.500
Nb2 0.000 0.500 0.000
Nb3 0.500 0.000 0.000
Nb4 0.500 0.500 0.500
Hg1 0.250 0.250 0.250
Hg2 0.250 0.750 0.750
Hg3 0.750 0.250 0.750
Hg4 0.750 0.750 0.250



[2]
Computed, not measured: a relaxed BeNbIr crystal at the PBE level of DFT.

Output
As for the magnetic moment: 0.04 Bohr magnetons per cell. The theoretical density is 9.65 Mg/m³. The energy is -7.58 eV per atom.

Lattice parameters (Å, degrees): 5.871 5.871 5.871 90.00 90.00 90.00
Sites, in units of the cell vectors:
Be1 0.000 0.000 0.000
Be2 0.000 0.500 0.500
Be3 0.500 0.000 0.500
Be4 0.500 0.500 0.000
Nb1 0.000 0.000 0.500
Nb2 0.000 0.500 0.000
Nb3 0.500 0.000 0.000
Nb4 0.500 0.500 0.500
Ir1 0.250 0.250 0.250
Ir2 0.250 0.750 0.750
Ir3 0.750 0.250 0.750
Ir4 0.750 0.750 0.250



[3]
Computed, not measured: a relaxed GaFeMoPd crystal at the PBE level of DFT.

Output
As for the magnetic moment: 5.85 Bohr magnetons per cell. The theoretical density is 9.44 Mg/m³. The energy is -6.80 eV per atom.

Lattice parameters (Å, degrees): 6.134 6.134 6.134 90.00 90.00 90.00
Sites, in units of the cell vectors:
Ga1 0.000 0.000 0.000
Ga2 0.000 0.500 0.500
Ga3 0.500 0.000 0.500
Ga4 0.500 0.500 0.000
Fe1 0.250 0.250 0.250
Fe2 0.250 0.750 0.750
Fe3 0.750 0.250 0.750
Fe4 0.750 0.750 0.250
Mo1 0.000 0.000 0.500
Mo2 0.000 0.500 0.000
Mo3 0.500 0.000 0.000
Mo4 0.500 0.500 0.500
Pd1 0.250 0.250 0.750
Pd2 0.250 0.750 0.250
Pd3 0.750 0.250 0.250
Pd4 0.750 0.750 0.750



[4]
Computed, not measured: a relaxed NiHgGeMo crystal at the PBE level of DFT.

Output
As for the magnetic moment: 1.77 Bohr magnetons per cell. The theoretical density is 11.33 Mg/m³. The energy is -4.91 eV per atom.

Lattice parameters (Å, degrees): 6.306 6.306 6.306 90.00 90.00 90.00
Sites, in units of the cell vectors:
Ni1 0.000 0.000 0.000
Ni2 0.000 0.500 0.500
Ni3 0.500 0.000 0.500
Ni4 0.500 0.500 0.000
Hg1 0.250 0.250 0.250
Hg2 0.250 0.750 0.750
Hg3 0.750 0.250 0.750
Hg4 0.750 0.750 0.250
Ge1 0.250 0.250 0.750
Ge2 0.250 0.750 0.250
Ge3 0.750 0.250 0.250
Ge4 0.750 0.750 0.750
Mo1 0.000 0.000 0.500
Mo2 0.000 0.500 0.000
Mo3 0.500 0.000 0.000
Mo4 0.500 0.500 0.500



[5]
Computed, not measured: a relaxed HfZrNiPb crystal at the PBE level of DFT.

Output
As for the magnetic moment: 10.22 Bohr magnetons per cell. The theoretical density is 10.83 Mg/m³. The energy is -6.62 eV per atom.

Lattice parameters (Å, degrees): 6.899 6.899 6.899 90.00 90.00 90.00
Sites, in units of the cell vectors:
Hf1 0.000 0.000 0.000
Hf2 0.000 0.500 0.500
Hf3 0.500 0.000 0.500
Hf4 0.500 0.500 0.000
Zr1 0.250 0.250 0.750
Zr2 0.250 0.750 0.250
Zr3 0.750 0.250 0.250
Zr4 0.750 0.750 0.750
Ni1 0.000 0.000 0.500
Ni2 0.000 0.500 0.000
Ni3 0.500 0.000 0.000
Ni4 0.500 0.500 0.500
Pb1 0.250 0.250 0.250
Pb2 0.250 0.750 0.750
Pb3 0.750 0.250 0.750
Pb4 0.750 0.750 0.250



[6]
Computed, not measured: a relaxed Zr2Sb2OsPd crystal at the PBE level of DFT.

Output
As for the magnetic moment: 0.01 Bohr magnetons per cell. The theoretical density is 9.26 Mg/m³. The energy is -7.66 eV per atom.

Lattice parameters (Å, degrees): 7.805 7.805 7.805 131.75 131.75 70.62
Sites, in units of the cell vectors:
Zr1 0.122 0.125 0.497
Zr2 0.375 0.878 0.003
Zr3 0.628 0.625 0.503
Zr4 0.875 0.372 0.997
Sb1 0.119 0.625 0.994
Sb2 0.375 0.369 0.494
Sb3 0.631 0.125 0.006
Sb4 0.875 0.881 0.506
Os1 0.000 0.000 0.000
Os2 0.750 0.250 0.500
Pd1 0.250 0.750 0.500
Pd2 0.500 0.500 0.000



[7]
Computed, not measured: a relaxed LiAcTbS3 crystal at the PBE level of DFT.

Output
As for the magnetic moment: 0.10 Bohr magnetons per cell. The theoretical density is 6.06 Mg/m³. The energy is -5.69 eV per atom.

Lattice parameters (Å, degrees): 10.073 6.888 6.888 34.11 90.00 90.00
Sites, in units of the cell vectors:
Li1 0.000 0.000 0.000
Li2 0.500 0.039 0.039
Ac1 0.000 0.275 0.275
Ac2 0.500 0.764 0.764
Tb1 0.250 0.520 0.520
Tb2 0.750 0.520 0.520
S1 0.000 0.602 0.602
S2 0.181 0.882 0.882
S3 0.319 0.157 0.157
S4 0.500 0.437 0.437
S5 0.681 0.157 0.157
S6 0.819 0.882 0.882



[8]
Computed, not measured: a relaxed HoNbCu crystal at the PBE level of DFT.

Output
As for the magnetic moment: 10.17 Bohr magnetons per cell. The theoretical density is 7.60 Mg/m³. The energy is -4.88 eV per atom. The value obtained for the calculated formation energy is 1.25 eV/atom.

Lattice parameters (Å, degrees): 6.548 6.548 6.548 90.00 90.00 90.00
Sites, in units of the cell vectors:
Ho1 0.000 0.000 0.000
Ho2 0.000 0.500 0.500
Ho3 0.500 0.000 0.500
Ho4 0.500 0.500 0.000
Nb1 0.250 0.250 0.750
Nb2 0.250 0.750 0.250
Nb3 0.750 0.250 0.250
Nb4 0.750 0.750 0.750
Cu1 0.250 0.250 0.250
Cu2 0.250 0.750 0.750
Cu3 0.750 0.250 0.750
Cu4 0.750 0.750 0.250